[1]
The following is a PBE calculation of a geometry-optimized MgSiPtRh structure, from the Alexandria database.

Results
For the formation energy from raw total energies, the calculation gives -0.655 eV per atom.

a b c (Å): 6.104 6.104 6.104
angles (deg): 90.00 90.00 90.00
Space group F-43m (No. 216)
One atom of each set of equivalent atoms:
Mg (0.000, 0.000, 0.000)
Si (0.000, 0.000, 0.500)
Pt (0.250, 0.250, 0.750)
Rh (0.250, 0.250, 0.250)

***

[2]
The following is a PBE calculation of a geometry-optimized NaV2Pd2 structure, from the Alexandria database.

Results
Its excess energy over the best structure of this formula in the dataset is 0.0197 eV/atom. For the energy relative to the elements, the calculation gives 0.038 eV/atom.

a b c (Å): 7.811 7.811 2.689
angles (deg): 90.00 90.00 90.00
Space group P4/mbm (No. 127)
One atom of each set of equivalent atoms:
Na (0.000, 0.000, 0.000)
V (0.110, 0.390, 0.500)
Pd (0.179, 0.679, 0.000)

***

[3]
The following is a PBE calculation of a geometry-optimized Mg7TlIn12 structure, from the Alexandria database.

Results
For the energy relative to the elements, the calculation gives 0.190 eV/atom.

a b c (Å): 10.834 10.834 10.834
angles (deg): 90.00 90.00 90.00
Space group Im-3 (No. 204)
One atom of each set of equivalent atoms:
Mg (0.000, 0.000, 0.500)
Mg (0.250, 0.250, 0.250)
Tl (0.000, 0.000, 0.000)
In (0.000, 0.263, 0.148)

***

[4]
The following is a PBE calculation of a geometry-optimized MnCd2Tc structure, from the Alexandria database.

Results
Its excess energy over the best structure of this formula in the dataset is 0.2684 eV/atom. For the energy relative to the elements, the calculation gives 0.450 eV/atom.

a b c (Å): 2.8930 2.8930 28.8495
angles (deg): 90.00 90.00 120.00
Space group R-3m (No. 166, hexagonal axes)
One atom of each set of equivalent atoms:
Mn (0.0000, 0.0000, 0.0000)
Cd (0.0000, 0.0000, 0.2501)
Tc (0.0000, 0.0000, 0.5000)

***

The records above yield theoretical density values of 10.2 6.8 4.6 9.0 g/cm³, respectively.